## GaCoHgMo (PBE)

Data for crystalline GaCoHgMo at its relaxed geometry.

a = 4.471 Å, b = 4.471 Å, c = 4.471 Å
α = 60.00°, β = 60.00°, γ = 60.00°
Fractional coordinates of all 4 atoms:
Ga1 0.000 0.000 0.000
Co1 0.250 0.250 0.250
Hg1 0.750 0.750 0.750
Mo1 0.500 0.500 0.500

- E above lowest polymorph (meV/atom) = 119.5
- crystal system = cubic
- E_tot (eV per atom) = -4.73
- total magnetic moment (μB/f.u.) = 1.99

---

## Ba2CoPd (PBE)

Data for crystalline Ba2CoPd at its relaxed geometry.

a = 5.260 Å, b = 5.260 Å, c = 5.260 Å
α = 60.00°, β = 60.00°, γ = 60.00°
Fractional coordinates of all 4 atoms:
Ba1 0.000 0.000 0.000
Ba2 0.250 0.250 0.250
Co1 0.750 0.750 0.750
Pd1 0.500 0.500 0.500

- crystal system = cubic
- E_tot (eV per atom) = -3.64
- total magnetic moment (μB/f.u.) = 1.10

---

## ZnCdCuAs (PBE)

Data for crystalline ZnCdCuAs at its relaxed geometry.

a = 4.615 Å, b = 4.615 Å, c = 4.615 Å
α = 60.00°, β = 60.00°, γ = 60.00°
Fractional coordinates of all 4 atoms:
Zn1 0.000 0.000 0.000
Cd1 0.750 0.750 0.750
Cu1 0.500 0.500 0.500
As1 0.250 0.250 0.250

- E above lowest polymorph (meV/atom) = 0.0
- crystal system = cubic
- E_tot (eV per atom) = -2.44

---

Question: Number 2 is which compound?
Answer: Ba2CoPd